TmTiMn2O6: optimized geometry, PBE with a Hubbard U.

POSCAR file:
```
TmTiMn2O6
1.0
5.244 0.000 0.000
-2.619 4.549 0.000
-2.610 -1.506 4.809
Tm Ti Mn O
1 1 2 6
Direct
0.000 0.000 0.000 Tm
0.973 0.485 0.457 Ti
0.554 0.277 0.830 Mn
0.591 0.796 0.387 Mn
0.056 0.201 0.645 O
0.101 0.428 0.181 O
0.445 0.854 0.646 O
0.508 0.080 0.183 O
0.754 0.673 0.182 O
0.791 0.591 0.645 O
```

Output
- crystal system = triclinic
- calculated total energy (eV per cell) = -81.30
- N(E_F) (states/eV/atom) = 0.00